Material: PaGaCuRu
Method: DFT, PBE
State: optimized geometry

* energy of formation from the pure elements: -0.20 eV per atom
* magnetic moment: 0.000 μB per atom

The structure in CIF format:
```
data_PaGaCuRu
_cell_length_a 4.629
_cell_length_b 4.629
_cell_length_c 4.629
_cell_angle_alpha 60.00
_cell_angle_beta 60.00
_cell_angle_gamma 60.00
_space_group_name_H-M_alt 'P 1'
_space_group_IT_number 1
loop_
_space_group_symop_operation_xyz
'x,y,z'
loop_
_atom_site_label
_atom_site_fract_x
_atom_site_fract_y
_atom_site_fract_z
Ru1 0.750 0.750 0.750
Cu1 0.250 0.250 0.250
Ga1 0.000 0.000 0.000
Pa1 0.500 0.500 0.500
```


Material: Dy2Pt7
Method: DFT, PBE
State: optimized geometry

* energy of formation from the pure elements: -0.86 eV per atom
* magnetic moment: 0.000 μB per atom

The structure in CIF format:
```
data_Dy2Pt7
_cell_length_a 5.397
_cell_length_b 5.397
_cell_length_c 13.646
_cell_angle_alpha 78.59
_cell_angle_beta 78.59
_cell_angle_gamma 60.00
_space_group_name_H-M_alt 'P 1'
_space_group_IT_number 1
loop_
_space_group_symop_operation_xyz
'x,y,z'
loop_
_atom_site_label
_atom_site_fract_x
_atom_site_fract_y
_atom_site_fract_z
Pt1 0.723 0.723 0.832
Pt2 0.000 0.500 0.000
Pt3 0.892 0.385 0.337
Pt4 0.389 0.389 0.832
Pt5 0.500 0.500 0.500
Pt6 0.611 0.611 0.168
Pt7 0.385 0.892 0.337
Pt8 0.108 0.615 0.663
Pt9 0.385 0.385 0.337
Pt10 0.615 0.108 0.663
Pt11 0.500 0.500 0.000
Pt12 0.500 0.000 0.000
Pt13 0.615 0.615 0.663
Pt14 0.277 0.277 0.168
Dy1 0.952 0.952 0.145
Dy2 0.048 0.048 0.855
Dy3 0.853 0.853 0.441
Dy4 0.147 0.147 0.559
```


Material: P2Se5
Method: DFT, PBE
State: optimized geometry

* magnetic moment: 0.000 μB per atom
* raw formation energy: -0.01 eV per atom

The structure in CIF format:
```
data_P2Se5
_cell_length_a 22.126
_cell_length_b 6.142
_cell_length_c 7.199
_cell_angle_alpha 65.97
_cell_angle_beta 90.00
_cell_angle_gamma 90.00
_space_group_name_H-M_alt 'P 1'
_space_group_IT_number 1
loop_
_space_group_symop_operation_xyz
'x,y,z'
loop_
_atom_site_label
_atom_site_fract_x
_atom_site_fract_y
_atom_site_fract_z
Se1 0.313 0.655 0.446
Se2 0.439 0.326 0.723
Se3 0.395 0.923 0.438
Se4 0.186 0.896 0.999
Se5 0.314 0.396 0.999
Se6 0.396 0.661 0.999
Se7 0.896 0.839 0.001
Se8 0.687 0.345 0.554
Se9 0.187 0.155 0.446
Se10 0.604 0.339 0.001
Se11 0.061 0.826 0.723
Se12 0.895 0.577 0.562
Se13 0.105 0.423 0.438
Se14 0.561 0.674 0.277
Se15 0.686 0.604 0.001
Se16 0.814 0.104 0.001
Se17 0.813 0.845 0.554
Se18 0.939 0.174 0.277
Se19 0.104 0.161 0.999
Se20 0.605 0.077 0.562
P1 0.336 0.319 0.724
P2 0.664 0.681 0.276
P3 0.448 0.697 0.718
P4 0.948 0.803 0.282
P5 0.836 0.181 0.276
P6 0.552 0.303 0.282
P7 0.052 0.197 0.718
P8 0.164 0.819 0.724
```


What is the magnetic moment in the first record? 0.000 μB per atom